A plane-wave DFT calculation with PBE was carried out for an optimized crystal structure of LiPa2GeO8.

Calculated values
formation energy from raw total energies: -2.27 eV per atom

Cell and atoms, written as CIF:
```
data_LiPa2GeO8
_cell_length_a 5.1163
_cell_length_b 5.1163
_cell_length_c 7.1144
_cell_angle_alpha 90.00
_cell_angle_beta 90.00
_cell_angle_gamma 120.00
_space_group_name_H-M_alt 'P -3 m 1'
_space_group_IT_number 164
_space_group_name_Hall '-P 3 2"'
loop_
_atom_site_label
_atom_site_fract_x
_atom_site_fract_y
_atom_site_fract_z
Li1 0.0000 0.0000 0.0000
Pa1 0.3333 0.6667 0.3407
Ge1 0.0000 0.0000 0.5000
O1 0.1723 0.3446 0.6505
O2 0.3333 0.6667 0.0793
```

---

A plane-wave DFT calculation with PBE was carried out for an optimized crystal structure of LiPaGeO5.

Calculated values
formation energy from raw total energies: -2.58 eV per atom

Cell and atoms, written as CIF:
```
data_LiPaGeO5
_cell_length_a 6.333
_cell_length_b 10.018
_cell_length_c 8.006
_cell_angle_alpha 90.00
_cell_angle_beta 113.26
_cell_angle_gamma 90.00
_space_group_name_H-M_alt 'C 1 2/c 1'
_space_group_IT_number 15
_space_group_name_Hall '-C 2yc'
loop_
_atom_site_label
_atom_site_fract_x
_atom_site_fract_y
_atom_site_fract_z
Li1 0.000 0.219 0.250
Pa1 0.000 0.500 0.000
Ge1 0.000 0.209 0.750
O1 0.000 0.417 0.250
O2 0.159 0.314 0.660
O3 0.178 0.102 0.925
```

---

A plane-wave DFT calculation with PBE was carried out for an optimized crystal structure of Li2GePbO4.

Calculated values
formation energy from raw total energies: -1.74 eV per atom

Cell and atoms, written as CIF:
```
data_Li2GePbO4
_cell_length_a 7.520
_cell_length_b 5.161
_cell_length_c 5.382
_cell_angle_alpha 90.00
_cell_angle_beta 90.00
_cell_angle_gamma 90.00
_space_group_name_H-M_alt 'P m n 21'
_space_group_IT_number 31
_space_group_name_Hall 'P 2ac -2'
loop_
_atom_site_label
_atom_site_fract_x
_atom_site_fract_y
_atom_site_fract_z
Li1 0.248 0.183 0.000
Ge1 0.000 0.713 0.988
Pb1 0.000 0.263 0.534
O1 0.000 0.364 0.974
O2 0.000 0.803 0.664
O3 0.191 0.835 0.143
```

---

Question: Which of these has the highest formation energy from raw total energies?
Answer: Li2GePbO4

---

Question: Among the records above, which one has the lowest formation energy from raw total energies?
Answer: LiPaGeO5

---

Question: What is the formation energy from raw total energies in the second record?
Answer: -2.58 eV per atom